VASP calculation (PBEsol) on a relaxed structure of AsPPb2.

As for the space-group type: No. 8. The value obtained for the electronic total energy is -4.595 eV/atom. The density of states at the Fermi level is 1.65 states/eV/f.u.

Lattice parameters (Å, degrees): 11.2000 3.4636 5.3079 90.00 114.25 90.00
Fractional coordinates of all 8 atoms:
As: 0.0000 0.0000 0.0000
As: 0.5000 0.5000 0.0000
P: 0.3340 0.0000 0.8246
P: 0.8340 0.5000 0.8246
Pb: 0.0777 0.5000 0.5824
Pb: 0.2888 0.5000 0.2735
Pb: 0.5777 0.0000 0.5824
Pb: 0.7887 0.0000 0.2735